1.
Entry from Alexandria via LeMat-Bulk: a geometry-optimized BeTe2W structure (PBE).

Computed properties:
Symmetry   No. 65
Calculated density   9.32 Mg/m³
ΔE_f (raw)   0.96 eV per atom
Total magnetization   0.0000 μB per atom

Cell lengths 3.345, 3.345, 8.102 Å; angles 90.00, 90.00, 118.26 degrees
Fractional coordinates of all 4 atoms:
1 Be 0.500 0.500 0.750
2 W 0.500 0.500 0.250
3 Te 0.000 0.000 0.980
4 Te 0.000 0.000 0.520

***

2.
Entry from Alexandria via LeMat-Bulk: a geometry-optimized Be2TeW structure (PBE).

Computed properties:
Symmetry   No. 119
Calculated density   9.69 Mg/m³
ΔE_f (raw)   0.61 eV per atom
Total magnetization   0.0000 μB per atom

Cell lengths 5.033, 5.033, 5.033 Å; angles 138.00, 138.00, 60.90 degrees
Fractional coordinates of all 4 atoms:
1 Te 0.500 0.500 0.000
2 W 0.750 0.250 0.500
3 Be 0.000 0.000 0.000
4 Be 0.250 0.750 0.500

***

3.
Entry from Alexandria via LeMat-Bulk: a geometry-optimized Be2TeW structure (PBE).

Computed properties:
Symmetry   No. 35
Calculated density   8.39 Mg/m³
ΔE_f (raw)   0.77 eV per atom
Total magnetization   0.0000 μB per atom

Cell lengths 2.935, 2.935, 7.718 Å; angles 90.00, 90.00, 101.32 degrees
Fractional coordinates of all 4 atoms:
1 Be 0.000 0.000 0.019
2 Be 0.500 0.500 0.142
3 W 0.500 0.500 0.817
4 Te 0.000 0.000 0.522

***

4.
Entry from Alexandria via LeMat-Bulk: a geometry-optimized BeTeW structure (PBE).

Computed properties:
Symmetry   No. 42
Calculated density   9.91 Mg/m³
ΔE_f (raw)   0.88 eV per atom
Total magnetization   0.0000 μB per atom

Cell lengths 6.784, 6.621, 2.952 Å; angles 80.39, 74.21, 25.40 degrees
Fractional coordinates of all 3 atoms:
1 Be 0.028 0.028 0.972
2 Te 0.326 0.326 0.674
3 W 0.646 0.646 0.354

***

5.
Entry from Alexandria via LeMat-Bulk: a geometry-optimized Be2TeW structure (PBE).

Computed properties:
Symmetry   No. 166
Calculated density   8.57 Mg/m³
ΔE_f (raw)   0.75 eV per atom
Total magnetization   0.0000 μB per atom

Cell lengths 8.548, 8.548, 8.548 Å; angles 19.98, 19.98, 19.98 degrees
Fractional coordinates of all 4 atoms:
1 Be 0.010 0.010 0.010
2 Be 0.490 0.490 0.490
3 W 0.750 0.750 0.750
4 Te 0.250 0.250 0.250

***

6.
Entry from Alexandria via LeMat-Bulk: a geometry-optimized BeTeW3 structure (PBE).

Computed properties:
Symmetry   No. 221
Calculated density   13.97 Mg/m³
ΔE_f (raw)   1.16 eV per atom
Total magnetization   0.0000 μB per atom

Cell lengths 4.341, 4.341, 4.341 Å; angles 90.00, 90.00, 90.00 degrees
Fractional coordinates of all 5 atoms:
1 Be 0.000 0.000 0.000
2 W 0.500 0.000 0.000
3 W 0.000 0.500 0.000
4 W 0.000 0.000 0.500
5 Te 0.500 0.500 0.500

***

7.
Entry from Alexandria via LeMat-Bulk: a geometry-optimized BeTe2W structure (PBE).

Computed properties:
Symmetry   No. 99
Calculated density   8.42 Mg/m³
ΔE_f (raw)   0.25 eV per atom
Total magnetization   0.0000 μB per atom

Cell lengths 3.281, 3.281, 8.204 Å; angles 90.00, 90.00, 90.00 degrees
Fractional coordinates of all 4 atoms:
1 Be 0.500 0.500 0.684
2 W 0.000 0.000 0.562
3 Te 0.500 0.500 0.360
4 Te 0.000 0.000 0.894

***

8.
Entry from Alexandria via LeMat-Bulk: a geometry-optimized BeTe2W structure (PBE).

Computed properties:
Symmetry   No. 44
Calculated density   9.57 Mg/m³
ΔE_f (raw)   0.88 eV per atom
Total magnetization   0.0000 μB per atom

Cell lengths 5.556, 5.556, 5.556 Å; angles 145.62, 125.64, 65.92 degrees
Fractional coordinates of all 4 atoms:
1 Be 0.262 0.762 0.500
2 W 0.483 0.483 0.000
3 Te 0.728 0.228 0.500
4 Te 0.027 0.027 0.000

***

9.
Entry from Alexandria via LeMat-Bulk: a geometry-optimized BeTe2W structure (PBE).

Computed properties:
Symmetry   No. 166
Calculated density   8.92 Mg/m³
ΔE_f (raw)   0.91 eV per atom
Total magnetization   0.0000 μB per atom

Cell lengths 8.715, 8.715, 8.715 Å; angles 22.27, 22.27, 22.27 degrees
Fractional coordinates of all 4 atoms:
1 Be 0.500 0.500 0.500
2 Te 0.104 0.104 0.104
3 Te 0.896 0.896 0.896
4 W 0.000 0.000 0.000

***

10.
Entry from Alexandria via LeMat-Bulk: a geometry-optimized BeTe2W structure (PBE).

Computed properties:
Symmetry   No. 12
Calculated density   9.74 Mg/m³
ΔE_f (raw)   0.92 eV per atom
Total magnetization   0.0000 μB per atom

Cell lengths 4.766, 4.766, 3.391 Å; angles 94.96, 94.96, 92.15 degrees
Fractional coordinates of all 4 atoms:
1 Be 0.000 0.500 0.500
2 W 0.500 0.000 0.500
3 Te 0.000 0.000 0.000
4 Te 0.500 0.500 0.000

***

11.
Entry from Alexandria via LeMat-Bulk: a geometry-optimized BeTe2W structure (PBE).

Computed properties:
Symmetry   No. 38
Calculated density   9.55 Mg/m³
ΔE_f (raw)   0.44 eV per atom
Total magnetization   0.0000 μB per atom

Cell lengths 4.477, 3.649, 5.109 Å; angles 69.05, 90.00, 90.00 degrees
Fractional coordinates of all 4 atoms:
1 Te 0.000 0.976 0.924
2 Te 0.500 0.270 0.336
3 W 0.000 0.687 0.501
4 Be 0.500 0.567 0.740

***

12.
Entry from Alexandria via LeMat-Bulk: a geometry-optimized BeTeW structure (PBE).

Computed properties:
Symmetry   No. 156
Calculated density   10.12 Mg/m³
ΔE_f (raw)   0.66 eV per atom
Total magnetization   0.0000 μB per atom

Cell lengths 3.178, 3.178, 6.011 Å; angles 90.00, 90.00, 120.00 degrees
Fractional coordinates of all 3 atoms:
1 Be 0.000 0.000 0.971
2 W 0.333 0.667 0.683
3 Te 0.667 0.333 0.346

***

Among the records above, which one has the highest calculated density?
BeTeW3

***

Which value of ΔE_f (raw) does entry 3 give?
0.77 eV per atom

***

What is the total magnetization in the eighth record?
0.0000 μB per atom